[1]
A plane-wave DFT calculation with PBE-GGA was carried out for a relaxed RbNbIr2C crystal.

Its density of states at the Fermi level is 1.02 states/eV/atom. The formation energy from the elements comes out at 944 meV per atom.

The structure belongs to space group P4/mmm (No. 123); the cell edges are 4.2260, 4.2260 and 4.5670 Å and the angles 90.00°, 90.00° and 90.00°. The distinct sites, in fractional coordinates, are Rb at (0.0000, 0.0000, 0.0000), Nb at (0.5000, 0.5000, 0.0000), Ir at (0.0000, 0.5000, 0.5000) and C at (0.5000, 0.5000, 0.5000).

---

[2]
A plane-wave DFT calculation with PBE-GGA was carried out for a relaxed DyPN crystal.

Its density of states at the Fermi level is 0.54 states/eV/atom. Its raw formation energy is -0.94 eV per atom.

The structure belongs to space group I4/mmm (No. 139); the cell edges are 3.4943, 3.4943 and 16.8976 Å and the angles 90.00°, 90.00° and 90.00°. The distinct sites, in fractional coordinates, are Dy at (0.0000, 0.0000, 0.1737), P at (0.0000, 0.0000, 0.4160) and N at (0.0000, 0.0000, 0.3113).

---

[3]
A plane-wave DFT calculation with PBE-GGA was carried out for a relaxed Tb7Dy2Th crystal.

Its density of states at the Fermi level is 1.28 states/eV/atom. The formation energy from the elements comes out at 17 meV per atom. The calculation puts the relative energy among the computed polymorphs at 0 meV per atom.

The structure belongs to space group C2/m (No. 12); the cell edges are 15.4497, 3.5688 and 11.8123 Å and the angles 90.00°, 101.81° and 90.00°. The distinct sites, in fractional coordinates, are Tb at (0.0000, 0.0000, 0.0000), Tb at (0.0988, 0.0000, 0.3021), Tb at (0.0998, 0.5000, 0.7985), Tb at (0.1992, 0.5000, 0.0984), Dy at (0.1962, 0.0000, 0.5995) and Th at (0.0000, 0.5000, 0.5000).

---

[4]
A plane-wave DFT calculation with PBE-GGA was carried out for a relaxed CuBrN2 crystal.

Its raw formation energy is -0.09 eV per atom. The calculation puts the relative energy among the computed polymorphs at 0 meV per atom.

The structure belongs to space group P1 (No. 1); the cell edges are 4.1029, 4.1063 and 7.4745 Å and the angles 78.61°, 78.91° and 60.10°. The distinct sites, in fractional coordinates, are Cu at (0.0000, 0.0000, 0.0000), Br at (0.6671, 0.6666, 0.9969), N at (0.0643, 0.0602, 0.5378) and N at (0.9629, 0.9573, 0.4445).

---

[5]
A plane-wave DFT calculation with PBE-GGA was carried out for a relaxed LiRhS2 crystal.

Its density of states at the Fermi level is 0.34 states/eV/atom. Its raw formation energy is -0.54 eV per atom.

The structure belongs to space group I-42d (No. 122); the cell edges are 5.8089, 5.8089 and 9.3283 Å and the angles 90.00°, 90.00° and 90.00°. The distinct sites, in fractional coordinates, are Li at (0.0000, 0.0000, 0.0000), Rh at (0.0000, 0.0000, 0.5000) and S at (0.2198, 0.2500, 0.6250).

---

[6]
A plane-wave DFT calculation with PBE-GGA was carried out for a relaxed CsLaOsO6 crystal.

Its raw formation energy is -1.79 eV per atom.

The structure belongs to space group P312 (No. 149); the cell edges are 5.8690, 5.8690 and 6.4370 Å and the angles 90.00°, 90.00° and 120.00°. The distinct sites, in fractional coordinates, are Cs at (0.0000, 0.0000, 0.0000), La at (0.3333, 0.6667, 0.5000), Os at (0.6667, 0.3333, 0.5000) and O at (0.4156, 0.0623, 0.6684).

---

Repeat the sixth record exactly.
A plane-wave DFT calculation with PBE-GGA was carried out for a relaxed CsLaOsO6 crystal.

Its raw formation energy is -1.79 eV per atom.

The structure belongs to space group P312 (No. 149); the cell edges are 5.8690, 5.8690 and 6.4370 Å and the angles 90.00°, 90.00° and 120.00°. The distinct sites, in fractional coordinates, are Cs at (0.0000, 0.0000, 0.0000), La at (0.3333, 0.6667, 0.5000), Os at (0.6667, 0.3333, 0.5000) and O at (0.4156, 0.0623, 0.6684).